Entry 1:
A plane-wave DFT calculation with PBE was carried out for KCu2Se after structural relaxation.

Properties
**SG**: Immm, No. 71
**Fermi-level density of states**: 2.21 states/eV/f.u.

Unit cell a=5.485 b=5.485 c=5.485 alpha=135.43 beta=113.18 gamma=83.91
Atoms (fractional coordinates):
K (0.000, 0.000, 0.000)
Cu (0.344, 0.844, 0.500)
Cu (0.656, 0.156, 0.500)
Se (0.500, 0.500, 0.000)

Entry 2:
A plane-wave DFT calculation with PBE was carried out for K2CuSe after structural relaxation.

Properties
**SG**: I-4m2, No. 119
**Fermi-level density of states**: 2.95 states/eV/f.u.

Unit cell a=5.903 b=5.903 c=5.903 alpha=131.89 beta=131.89 gamma=70.40
Atoms (fractional coordinates):
K (0.000, 0.000, 0.000)
K (0.750, 0.250, 0.500)
Cu (0.500, 0.500, 0.000)
Se (0.250, 0.750, 0.500)

Entry 3:
A plane-wave DFT calculation with PBE was carried out for K2CuSe4 after structural relaxation.

Properties
**SG**: I-42d, No. 122
**Fermi-level density of states**: 6.31 states/eV/f.u.

Unit cell a=8.444 b=8.444 c=8.444 alpha=120.14 beta=120.14 gamma=89.76
Atoms (fractional coordinates):
K (0.375, 0.007, 0.132)
K (0.757, 0.625, 0.632)
K (0.875, 0.243, 0.868)
K (0.993, 0.125, 0.368)
Cu (0.250, 0.750, 0.500)
Cu (0.500, 0.500, 0.000)
Se (0.046, 0.893, 0.611)
Se (0.107, 0.718, 0.153)
Se (0.185, 0.532, 0.889)
Se (0.282, 0.435, 0.389)
Se (0.468, 0.357, 0.653)
Se (0.565, 0.954, 0.847)
Se (0.643, 0.296, 0.111)
Se (0.704, 0.815, 0.347)

Entry 4:
A plane-wave DFT calculation with PBE was carried out for KCu2Se after structural relaxation.

Properties
**SG**: P4/mmm, No. 123
**Fermi-level density of states**: 1.33 states/eV/f.u.

Unit cell a=4.309 b=4.309 c=4.361 alpha=90.00 beta=90.00 gamma=90.00
Atoms (fractional coordinates):
K (0.000, 0.000, 0.000)
Cu (0.000, 0.500, 0.500)
Cu (0.500, 0.000, 0.500)
Se (0.500, 0.500, 0.000)

Entry 5:
A plane-wave DFT calculation with PBE was carried out for K2Cu2Se after structural relaxation.

Properties
**SG**: I4/mmm, No. 139

Unit cell a=5.720 b=5.720 c=5.720 alpha=112.06 beta=112.06 gamma=104.41
Atoms (fractional coordinates):
K (0.250, 0.750, 0.500)
K (0.750, 0.250, 0.500)
Cu (0.164, 0.164, 0.000)
Cu (0.836, 0.836, 0.000)
Se (0.500, 0.500, 0.000)

Entry 6:
A plane-wave DFT calculation with PBE was carried out for K2CuSe after structural relaxation.

Properties
**SG**: F-43m, No. 216
**Fermi-level density of states**: 2.26 states/eV/f.u.

Unit cell a=5.385 b=5.385 c=5.385 alpha=60.00 beta=60.00 gamma=60.00
Atoms (fractional coordinates):
K (0.000, 0.000, 0.000)
K (0.250, 0.250, 0.250)
Cu (0.750, 0.750, 0.750)
Se (0.500, 0.500, 0.500)

Entry 7:
A plane-wave DFT calculation with PBE was carried out for KCu2Se after structural relaxation.

Properties
**SG**: C2/m, No. 12
**Fermi-level density of states**: 2.53 states/eV/f.u.

Unit cell a=6.213 b=6.213 c=2.806 alpha=102.82 beta=102.82 gamma=122.61
Atoms (fractional coordinates):
K (0.000, 0.000, 0.000)
Cu (0.000, 0.500, 0.000)
Cu (0.500, 0.000, 0.000)
Se (0.500, 0.500, 0.000)

Entry 8:
A plane-wave DFT calculation with PBE was carried out for KCu6Se4 after structural relaxation.

Properties
**SG**: I4/mmm, No. 139
**Energy relative to the lowest polymorph listed for this composition**: 0.000 eV per atom
**Fermi-level density of states**: 5.67 states/eV/f.u.

Unit cell a=13.170 b=13.170 c=13.170 alpha=162.37 beta=162.37 gamma=25.04
Atoms (fractional coordinates):
K (0.000, 0.000, 0.000)
Cu (0.128, 0.628, 0.500)
Cu (0.250, 0.750, 0.500)
Cu (0.372, 0.872, 0.500)
Cu (0.628, 0.128, 0.500)
Cu (0.750, 0.250, 0.500)
Cu (0.872, 0.372, 0.500)
Se (0.192, 0.192, 0.000)
Se (0.424, 0.424, 0.000)
Se (0.576, 0.576, 0.000)
Se (0.808, 0.808, 0.000)

Entry 9:
A plane-wave DFT calculation with PBE was carried out for K2CuSe3 after structural relaxation.

Properties
**SG**: P6_3/mmc, No. 194
**Energy relative to the lowest polymorph listed for this composition**: 0.000 eV per atom
**Fermi-level density of states**: 2.17 states/eV/f.u.

Unit cell a=4.474 b=4.474 c=19.377 alpha=90.00 beta=90.00 gamma=120.00
Atoms (fractional coordinates):
K (0.000, 0.000, 0.128)
K (0.000, 0.000, 0.372)
K (0.000, 0.000, 0.628)
K (0.000, 0.000, 0.872)
Cu (0.333, 0.667, 0.250)
Cu (0.667, 0.333, 0.750)
Se (0.333, 0.667, 0.013)
Se (0.333, 0.667, 0.487)
Se (0.333, 0.667, 0.750)
Se (0.667, 0.333, 0.250)
Se (0.667, 0.333, 0.513)
Se (0.667, 0.333, 0.987)

Entry 10:
A plane-wave DFT calculation with PBE was carried out for KCu4Se2 after structural relaxation.

Properties
**SG**: R-3m, No. 166
**Fermi-level density of states**: 2.00 states/eV/f.u.

Unit cell a=9.272 b=9.272 c=9.272 alpha=25.74 beta=25.74 gamma=25.74
Atoms (fractional coordinates):
K (0.000, 0.000, 0.000)
Cu (0.161, 0.161, 0.161)
Cu (0.452, 0.452, 0.452)
Cu (0.548, 0.548, 0.548)
Cu (0.839, 0.839, 0.839)
Se (0.251, 0.251, 0.251)
Se (0.749, 0.749, 0.749)

Entry 11:
A plane-wave DFT calculation with PBE was carried out for K4Cu5Se6 after structural relaxation.

Properties
**SG**: Cmc2_1, No. 36
**Fermi-level density of states**: 6.08 states/eV/f.u.

Unit cell a=9.584 b=9.584 c=17.684 alpha=90.00 beta=90.00 gamma=154.21
Atoms (fractional coordinates):
K (0.003, 0.997, 0.500)
K (0.004, 0.996, 0.761)
K (0.184, 0.816, 0.448)
K (0.184, 0.816, 0.813)
K (0.816, 0.184, 0.313)
K (0.816, 0.184, 0.948)
K (0.996, 0.004, 0.261)
K (0.997, 0.003, 0.000)
Cu (0.127, 0.873, 0.130)
Cu (0.277, 0.723, 0.130)
Cu (0.365, 0.635, 0.512)
Cu (0.365, 0.635, 0.750)
Cu (0.419, 0.581, 0.130)
Cu (0.581, 0.419, 0.630)
Cu (0.635, 0.365, 0.012)
Cu (0.635, 0.365, 0.250)
Cu (0.723, 0.277, 0.630)
Cu (0.873, 0.127, 0.630)
Se (0.142, 0.858, 0.630)
Se (0.201, 0.799, 0.014)
Se (0.201, 0.799, 0.247)
Se (0.432, 0.568, 0.389)
Se (0.432, 0.568, 0.872)
Se (0.449, 0.551, 0.631)
Se (0.551, 0.449, 0.131)
Se (0.568, 0.432, 0.372)
Se (0.568, 0.432, 0.889)
Se (0.799, 0.201, 0.514)
Se (0.799, 0.201, 0.747)
Se (0.858, 0.142, 0.130)

Entry 12:
A plane-wave DFT calculation with PBE was carried out for KCu2Se after structural relaxation.

Properties
**SG**: R-3m, No. 166
**Fermi-level density of states**: 0.59 states/eV/f.u.

Unit cell a=6.287 b=6.287 c=6.287 alpha=41.63 beta=41.63 gamma=41.63
Atoms (fractional coordinates):
K (0.000, 0.000, 0.000)
Cu (0.179, 0.179, 0.179)
Cu (0.821, 0.821, 0.821)
Se (0.500, 0.500, 0.500)

Calculated total magnetization (μB per atom), listed in the same order as above: 0.000, 0.000, 0.001, 0.000, 0.000, 0.000, 0.000, 0.000, 0.000, 0.000, 0.000, 0.000
Calculated formation energy without anion corrections (kJ/mol of atoms), listed in the same order as above: 14, -16, -54, 32, -22, -14, 34, -26, -50, -25, -53, -9